Record 1
The following is a DFT calculation (PBE) of LaSmBeGa after structural relaxation.

Values from the calculation:
- space group = F-43m, No. 216
- calculated formation energy (eV/atom) = -0.16
- crystal system = cubic

Cell and atoms, written as CIF:
```
data_LaSmBeGa
_chemical_formula_sum 'La1 Sm1 Be1 Ga1'
_cell_length_a 5.149
_cell_length_b 5.149
_cell_length_c 5.149
_cell_angle_alpha 60.00
_cell_angle_beta 60.00
_cell_angle_gamma 60.00
_symmetry_space_group_name_H-M 'P 1'
_symmetry_Int_Tables_number 1
loop_
_symmetry_equiv_pos_as_xyz
'x,y,z'
loop_
_atom_site_label
_atom_site_type_symbol
_atom_site_fract_x
_atom_site_fract_y
_atom_site_fract_z
La1 La 0.000 0.000 0.000
Sm1 Sm 0.500 0.500 0.500
Be1 Be 0.750 0.750 0.750
Ga1 Ga 0.250 0.250 0.250
```



Record 2
The following is a DFT calculation (PBE) of LaYBeGa after structural relaxation.

Values from the calculation:
- space group = F-43m, No. 216
- calculated formation energy (eV/atom) = -0.19
- crystal system = cubic

Cell and atoms, written as CIF:
```
data_LaYBeGa
_chemical_formula_sum 'La1 Y1 Be1 Ga1'
_cell_length_a 5.110
_cell_length_b 5.110
_cell_length_c 5.110
_cell_angle_alpha 60.00
_cell_angle_beta 60.00
_cell_angle_gamma 60.00
_symmetry_space_group_name_H-M 'P 1'
_symmetry_Int_Tables_number 1
loop_
_symmetry_equiv_pos_as_xyz
'x,y,z'
loop_
_atom_site_label
_atom_site_type_symbol
_atom_site_fract_x
_atom_site_fract_y
_atom_site_fract_z
La1 La 0.000 0.000 0.000
Y1 Y 0.500 0.500 0.500
Be1 Be 0.750 0.750 0.750
Ga1 Ga 0.250 0.250 0.250
```



Record 3
The following is a DFT calculation (PBE) of LaY2BeGa after structural relaxation.

Values from the calculation:
- space group = P4/mmm, No. 123
- calculated formation energy (eV/atom) = 1.33
- crystal system = tetragonal

Cell and atoms, written as CIF:
```
data_LaY2BeGa
_chemical_formula_sum 'La1 Y2 Be1 Ga1'
_cell_length_a 5.655
_cell_length_b 5.655
_cell_length_c 5.463
_cell_angle_alpha 90.00
_cell_angle_beta 90.00
_cell_angle_gamma 90.00
_symmetry_space_group_name_H-M 'P 1'
_symmetry_Int_Tables_number 1
loop_
_symmetry_equiv_pos_as_xyz
'x,y,z'
loop_
_atom_site_label
_atom_site_type_symbol
_atom_site_fract_x
_atom_site_fract_y
_atom_site_fract_z
La1 La 0.000 0.000 0.000
Y1 Y 0.000 0.500 0.000
Y2 Y 0.500 0.000 0.000
Be1 Be 0.500 0.500 0.500
Ga1 Ga 0.000 0.000 0.500
```



Record 4
The following is a DFT calculation (PBE) of Li2BeGa after structural relaxation.

Values from the calculation:
- space group = Fm-3m, No. 225
- calculated formation energy (eV/atom) = 0.04
- crystal system = cubic

Cell and atoms, written as CIF:
```
data_Li2BeGa
_chemical_formula_sum 'Li2 Be1 Ga1'
_cell_length_a 4.176
_cell_length_b 4.176
_cell_length_c 4.176
_cell_angle_alpha 60.00
_cell_angle_beta 60.00
_cell_angle_gamma 60.00
_symmetry_space_group_name_H-M 'P 1'
_symmetry_Int_Tables_number 1
loop_
_symmetry_equiv_pos_as_xyz
'x,y,z'
loop_
_atom_site_label
_atom_site_type_symbol
_atom_site_fract_x
_atom_site_fract_y
_atom_site_fract_z
Li1 Li 0.250 0.250 0.250
Li2 Li 0.750 0.750 0.750
Be1 Be 0.000 0.000 0.000
Ga1 Ga 0.500 0.500 0.500
```



Record 5
The following is a DFT calculation (PBE) of LiBe2Ga after structural relaxation.

Values from the calculation:
- space group = Fm-3m, No. 225
- calculated formation energy (eV/atom) = 0.09
- crystal system = cubic

Cell and atoms, written as CIF:
```
data_LiBe2Ga
_chemical_formula_sum 'Li1 Be2 Ga1'
_cell_length_a 3.969
_cell_length_b 3.969
_cell_length_c 3.969
_cell_angle_alpha 60.00
_cell_angle_beta 60.00
_cell_angle_gamma 60.00
_symmetry_space_group_name_H-M 'P 1'
_symmetry_Int_Tables_number 1
loop_
_symmetry_equiv_pos_as_xyz
'x,y,z'
loop_
_atom_site_label
_atom_site_type_symbol
_atom_site_fract_x
_atom_site_fract_y
_atom_site_fract_z
Li1 Li 0.000 0.000 0.000
Be1 Be 0.250 0.250 0.250
Be2 Be 0.750 0.750 0.750
Ga1 Ga 0.500 0.500 0.500
```



Record 6
The following is a DFT calculation (PBE) of Li2BeGa after structural relaxation.

Values from the calculation:
- space group = R-3m, No. 166
- calculated formation energy (eV/atom) = 0.25
- crystal system = trigonal

Cell and atoms, written as CIF:
```
data_Li2BeGa
_chemical_formula_sum 'Li2 Be1 Ga1'
_cell_length_a 9.540
_cell_length_b 9.540
_cell_length_c 9.540
_cell_angle_alpha 16.13
_cell_angle_beta 16.13
_cell_angle_gamma 16.13
_symmetry_space_group_name_H-M 'P 1'
_symmetry_Int_Tables_number 1
loop_
_symmetry_equiv_pos_as_xyz
'x,y,z'
loop_
_atom_site_label
_atom_site_type_symbol
_atom_site_fract_x
_atom_site_fract_y
_atom_site_fract_z
Li1 Li 0.086 0.086 0.086
Li2 Li 0.914 0.914 0.914
Be1 Be 0.000 0.000 0.000
Ga1 Ga 0.500 0.500 0.500
```



Record 7
The following is a DFT calculation (PBE) of LiBeGa2 after structural relaxation.

Values from the calculation:
- space group = I-42d, No. 122
- calculated formation energy (eV/atom) = 0.21
- crystal system = tetragonal

Cell and atoms, written as CIF:
```
data_LiBeGa2
_chemical_formula_sum 'Li2 Be2 Ga4'
_cell_length_a 8.851
_cell_length_b 8.851
_cell_length_c 8.851
_cell_angle_alpha 154.72
_cell_angle_beta 154.72
_cell_angle_gamma 36.06
_symmetry_space_group_name_H-M 'P 1'
_symmetry_Int_Tables_number 1
loop_
_symmetry_equiv_pos_as_xyz
'x,y,z'
loop_
_atom_site_label
_atom_site_type_symbol
_atom_site_fract_x
_atom_site_fract_y
_atom_site_fract_z
Li1 Li 0.000 0.000 0.000
Li2 Li 0.750 0.250 0.500
Be1 Be 0.250 0.750 0.500
Be2 Be 0.500 0.500 0.000
Ga1 Ga 0.138 0.625 0.013
Ga2 Ga 0.375 0.388 0.513
Ga3 Ga 0.612 0.125 0.987
Ga4 Ga 0.875 0.862 0.487
```



Record 8
The following is a DFT calculation (PBE) of LiBeGa2 after structural relaxation.

Values from the calculation:
- space group = P4/mmm, No. 123
- calculated formation energy (eV/atom) = 0.00
- crystal system = tetragonal

Cell and atoms, written as CIF:
```
data_LiBeGa2
_chemical_formula_sum 'Li1 Be1 Ga2'
_cell_length_a 3.846
_cell_length_b 3.846
_cell_length_c 3.726
_cell_angle_alpha 90.00
_cell_angle_beta 90.00
_cell_angle_gamma 90.00
_symmetry_space_group_name_H-M 'P 1'
_symmetry_Int_Tables_number 1
loop_
_symmetry_equiv_pos_as_xyz
'x,y,z'
loop_
_atom_site_label
_atom_site_type_symbol
_atom_site_fract_x
_atom_site_fract_y
_atom_site_fract_z
Li1 Li 0.000 0.000 0.000
Be1 Be 0.500 0.500 0.000
Ga1 Ga 0.000 0.500 0.500
Ga2 Ga 0.500 0.000 0.500
```



Record 9
The following is a DFT calculation (PBE) of LiBeGa2 after structural relaxation.

Values from the calculation:
- space group = R-3m, No. 166
- calculated formation energy (eV/atom) = 0.01
- crystal system = trigonal

Cell and atoms, written as CIF:
```
data_LiBeGa2
_chemical_formula_sum 'Li1 Be1 Ga2'
_cell_length_a 4.885
_cell_length_b 4.885
_cell_length_c 4.885
_cell_angle_alpha 48.67
_cell_angle_beta 48.67
_cell_angle_gamma 48.67
_symmetry_space_group_name_H-M 'P 1'
_symmetry_Int_Tables_number 1
loop_
_symmetry_equiv_pos_as_xyz
'x,y,z'
loop_
_atom_site_label
_atom_site_type_symbol
_atom_site_fract_x
_atom_site_fract_y
_atom_site_fract_z
Li1 Li 0.000 0.000 0.000
Be1 Be 0.500 0.500 0.500
Ga1 Ga 0.225 0.225 0.225
Ga2 Ga 0.775 0.775 0.775
```



Record 10
The following is a DFT calculation (PBE) of LiBeGa2 after structural relaxation.

Values from the calculation:
- space group = P4/mmm, No. 123
- calculated formation energy (eV/atom) = -0.02
- crystal system = tetragonal

Cell and atoms, written as CIF:
```
data_LiBeGa2
_chemical_formula_sum 'Li1 Be1 Ga2'
_cell_length_a 2.949
_cell_length_b 2.949
_cell_length_c 6.605
_cell_angle_alpha 90.00
_cell_angle_beta 90.00
_cell_angle_gamma 90.00
_symmetry_space_group_name_H-M 'P 1'
_symmetry_Int_Tables_number 1
loop_
_symmetry_equiv_pos_as_xyz
'x,y,z'
loop_
_atom_site_label
_atom_site_type_symbol
_atom_site_fract_x
_atom_site_fract_y
_atom_site_fract_z
Li1 Li 0.000 0.000 0.000
Be1 Be 0.000 0.000 0.500
Ga1 Ga 0.500 0.500 0.279
Ga2 Ga 0.500 0.500 0.721
```



calculated formation energy of number 6 (Li2BeGa)?
0.25 eV/atom